Entry 1:
Density functional theory data (GGA-PBE) for crystalline AcCeSn at its relaxed geometry.

a = 8.227 Å, b = 8.227 Å, c = 9.435 Å
α = 110.92°, β = 110.92°, γ = 100.43°
Site moments in Bohr magnetons follow the coordinates.
Atoms (fractional coordinates):
Ce 0.625 0.375 0.250  1.27
Ce 0.125 0.375 0.750  1.27
Ce 0.625 0.375 0.750  1.27
Ce 0.625 0.875 0.250  1.27
Sn 0.044 0.956 0.500  -0.03
Sn 0.794 0.206 0.000  -0.03
Sn 0.456 0.544 0.500  -0.03
Sn 0.206 0.794 0.000  -0.03
Ac 0.116 0.616 0.233  0.10
Ac 0.134 0.134 0.267  0.10
Ac 0.866 0.866 0.733  0.10
Ac 0.384 0.884 0.767  0.10

Output
For the polymorph energy (0 for the lowest one), the calculation gives 478 meV per atom. The calculation puts the formation energy at -0.04 eV per atom. As for the space-group type: Fddd (70).

Entry 2:
Density functional theory data (GGA-PBE) for crystalline ZrGaPdPt at its relaxed geometry.

a = 4.583 Å, b = 4.583 Å, c = 4.583 Å
α = 60.00°, β = 60.00°, γ = 60.00°
Atoms (fractional coordinates):
Zr 0.000 0.000 0.000
Ga 0.500 0.500 0.500
Pd 0.250 0.250 0.250
Pt 0.750 0.750 0.750

Output
The calculation puts the formation energy at -0.80 eV per atom. As for the space-group type: F-43m (216).

Entry 3:
Density functional theory data (GGA-PBE) for crystalline Na3CuO3 at its relaxed geometry.

a = 9.306 Å, b = 9.306 Å, c = 4.462 Å
α = 90.00°, β = 90.00°, γ = 90.00°
Atoms (fractional coordinates):
Na 0.371 0.128 0.500
Na 0.628 0.129 0.000
Na 0.150 0.150 0.000
Na 0.650 0.350 0.500
Na 0.128 0.371 0.500
Na 0.871 0.372 0.000
Na 0.129 0.628 0.000
Na 0.872 0.629 0.500
Na 0.350 0.650 0.500
Na 0.850 0.850 0.000
Na 0.372 0.871 0.000
Na 0.629 0.872 0.500
Cu 0.891 0.109 0.500
Cu 0.391 0.391 0.000
Cu 0.609 0.609 0.000
Cu 0.109 0.891 0.500
O 0.094 0.094 0.500
O 0.692 0.106 0.500
O 0.394 0.192 0.000
O 0.894 0.308 0.500
O 0.192 0.394 0.000
O 0.594 0.406 0.000
O 0.406 0.594 0.000
O 0.808 0.606 0.000
O 0.106 0.692 0.500
O 0.606 0.808 0.000
O 0.308 0.894 0.500
O 0.906 0.906 0.500

Output
For the polymorph energy (0 for the lowest one), the calculation gives 4 meV per atom. The energy relative to the elements, uncorrected is -1.1448 eV/atom. As for the space-group type: P4_2/mnm (136).

Entry 4:
Density functional theory data (GGA-PBE) for crystalline LaTaBrO4 at its relaxed geometry.

a = 7.201 Å, b = 7.201 Å, c = 7.263 Å
α = 77.84°, β = 77.84°, γ = 56.16°
Atoms (fractional coordinates):
La 0.290 0.290 0.831
La 0.710 0.710 0.169
Ta 0.626 0.626 0.752
Ta 0.374 0.374 0.248
Br 0.011 0.011 0.338
Br 0.989 0.989 0.662
O 0.311 0.311 0.506
O 0.689 0.689 0.494
O 0.110 0.532 0.126
O 0.524 0.524 0.207
O 0.468 0.890 0.874
O 0.532 0.110 0.126
O 0.476 0.476 0.793
O 0.890 0.468 0.874

Output
The energy relative to the elements, uncorrected is -2.6444 eV/atom. As for the space-group type: C2/m (12).